A plane-wave DFT calculation with GGA-PBE was carried out for an optimized crystal structure of Ho5Hg2Pt2.

Geometry as POSCAR:
```
Ho5Hg2Pt2
1.0
7.820 -3.858 0.000
7.820 3.858 0.000
0.000 0.000 7.578
Ho Hg Pt
10 4 4
Direct
0.000 0.000 0.000
0.050 0.704 0.667
0.204 0.550 0.167
0.296 0.950 0.667
0.450 0.796 0.167
0.500 0.500 0.500
0.550 0.204 0.833
0.704 0.050 0.333
0.796 0.450 0.833
0.950 0.296 0.333
0.213 0.213 0.000
0.287 0.287 0.500
0.713 0.713 0.500
0.787 0.787 0.000
0.132 0.868 0.366
0.368 0.632 0.866
0.632 0.368 0.134
0.868 0.132 0.634
```

Computed properties:
DOS at the Fermi energy	0.84	states/eV/atom
formation enthalpy at 0 K	-0.809	eV per atom
electronic total energy	-4.7617	eV per atom



A plane-wave DFT calculation with GGA-PBE was carried out for an optimized crystal structure of HoPuHgPt.

Geometry as POSCAR:
```
HoPuHgPt
1.0
0.000 3.611 3.611
3.611 0.000 3.611
3.611 3.611 0.000
Ho Pu Hg Pt
1 1 1 1
Direct
0.000 0.000 0.000
0.500 0.500 0.500
0.750 0.750 0.750
0.250 0.250 0.250
```

Computed properties:
DOS at the Fermi energy	2.59	states/eV/atom
formation enthalpy at 0 K	-0.572	eV per atom
electronic total energy	-6.8847	eV per atom



A plane-wave DFT calculation with GGA-PBE was carried out for an optimized crystal structure of HoHgPtRh.

Geometry as POSCAR:
```
HoHgPtRh
1.0
0.000 3.351 3.351
3.351 0.000 3.351
3.351 3.351 0.000
Ho Hg Pt Rh
1 1 1 1
Direct
0.000 0.000 0.000
0.500 0.500 0.500
0.250 0.250 0.250
0.750 0.750 0.750
```

Computed properties:
DOS at the Fermi energy	0.57	states/eV/atom
formation enthalpy at 0 K	-0.621	eV per atom
electronic total energy	-5.1891	eV per atom



A plane-wave DFT calculation with GGA-PBE was carried out for an optimized crystal structure of Ho4HgPtRh2.

Geometry as POSCAR:
```
Ho4HgPtRh2
1.0
2.470 1.426 8.138
-2.470 1.426 8.138
0.000 -2.852 8.138
Ho Hg Pt Rh
4 1 1 2
Direct
0.120 0.120 0.120
0.371 0.371 0.371
0.629 0.629 0.629
0.880 0.880 0.880
0.500 0.500 0.500
0.000 0.000 0.000
0.251 0.251 0.251
0.749 0.749 0.749
```

Computed properties:
DOS at the Fermi energy	0.56	states/eV/atom
formation enthalpy at 0 K	-0.854	eV per atom
electronic total energy	-5.7736	eV per atom



A plane-wave DFT calculation with GGA-PBE was carried out for an optimized crystal structure of HoScHgPt.

Geometry as POSCAR:
```
HoScHgPt
1.0
3.424 0.000 0.000
0.000 3.424 0.000
0.000 0.000 7.340
Ho Sc Hg Pt
1 1 1 1
Direct
0.000 0.000 0.000
0.000 0.000 0.553
0.500 0.500 0.296
0.500 0.500 0.752
```

Computed properties:
DOS at the Fermi energy	0.75	states/eV/atom
formation enthalpy at 0 K	-0.850	eV per atom
electronic total energy	-5.1633	eV per atom



A plane-wave DFT calculation with GGA-PBE was carried out for an optimized crystal structure of HoScHgPt.

Geometry as POSCAR:
```
HoScHgPt
1.0
0.000 3.501 3.501
3.501 0.000 3.501
3.501 3.501 0.000
Ho Sc Hg Pt
1 1 1 1
Direct
0.000 0.000 0.000
0.500 0.500 0.500
0.250 0.250 0.250
0.750 0.750 0.750
```

Computed properties:
DOS at the Fermi energy	0.56	states/eV/atom
formation enthalpy at 0 K	-0.794	eV per atom
electronic total energy	-5.1072	eV per atom